No. 1
## NbZnSnN2 (PBE-GGA)

Data for a geometry-optimized NbZnSnN2 structure.

Energy relative to the elements, uncorrected, meV/atom: 487

a b c (Å): 4.0790 4.0790 5.3210
angles (deg): 90.00 90.00 90.00
Last column: nearest neighbours and their distance in Å.
Space group P4/mmm (No. 123)
Symmetry-distinct sites (fractional):
Nb1 0.0000 0.0000 0.0000 x1  4 N 2.04
Zn1 0.0000 0.0000 0.5000 x1  2 Nb 2.66, 4 Sn 2.88
Sn1 0.5000 0.5000 0.5000 x1  4 Zn 2.88
N1 0.0000 0.5000 0.0000 x2  2 Nb 2.04



No. 2
## NbZn2SnN (PBE-GGA)

Data for a geometry-optimized NbZn2SnN structure.

Energy relative to the elements, uncorrected, meV/atom: 570

a b c (Å): 4.0454 4.0454 5.1890
angles (deg): 90.00 90.00 90.00
Last column: nearest neighbours and their distance in Å.
Space group P4/mmm (No. 123)
Symmetry-distinct sites (fractional):
Nb1 0.0000 0.0000 0.0000 x1  4 Sn 2.86
Zn1 0.0000 0.5000 0.5000 x2  2 N 2.02
Sn1 0.5000 0.5000 0.0000 x1  2 N 2.59, 4 Nb 2.86
N1 0.5000 0.5000 0.5000 x1  4 Zn 2.02



| no. | E_tot (eV/atom) |
| --- | --- |
| 1 | -5.91 |
| 2 | -4.42 |